No. 1
! PBE-GGA RbNbS3, relaxed; values from VASP
&SYSTEM
  ibrav = 0, nat = 10, ntyp = 3
/
ATOMIC_SPECIES
Rb 85.47 Rb.upf
Nb 92.91 Nb.upf
S 32.06 S.upf
CELL_PARAMETERS angstrom
9.2444 -1.8360 0.0000
9.2444 1.8360 0.0000
-2.3019 0.0000 8.8628
ATOMIC_POSITIONS crystal
Rb 0.1162 0.1162 0.3371
Rb 0.8838 0.8838 0.6629
Nb 0.3396 0.3396 0.1620
Nb 0.6604 0.6604 0.8380
S 0.0667 0.0667 0.7776
S 0.1959 0.1959 0.0373
S 0.3005 0.3005 0.3747
S 0.6995 0.6995 0.6253
S 0.8041 0.8041 0.9627
S 0.9333 0.9333 0.2224
! - N(E_F): 0.00 states/eV/atom
! - E_form (uncorrected): -0.947 eV/atom
! - Magnetization: 0.00 μB/f.u.
! - Energy above the lowest structure with this stoichiometry: 0.138 eV per atom

---

No. 2
! PBE-GGA RbNbS3, relaxed; values from VASP
&SYSTEM
  ibrav = 0, nat = 5, ntyp = 3
/
ATOMIC_SPECIES
Rb 85.47 Rb.upf
Nb 92.91 Nb.upf
S 32.06 S.upf
CELL_PARAMETERS angstrom
3.4953 0.0000 0.0000
0.0000 4.2617 7.3934
0.0000 -4.2617 7.3934
ATOMIC_POSITIONS crystal
Rb 0.0000 0.0000 0.0000
Nb 0.5000 0.6655 0.6655
S 0.0000 0.4339 0.8164
S 0.0000 0.8164 0.4339
S 0.5000 0.8149 0.8149
! - N(E_F): 0.00 states/eV/atom
! - E_form (uncorrected): -0.894 eV/atom
! - Magnetization: 0.00 μB/f.u.
! - Energy above the lowest structure with this stoichiometry: 0.190 eV per atom

---

No. 3
! PBE-GGA RbNb6S8, relaxed; values from VASP
&SYSTEM
  ibrav = 0, nat = 15, ntyp = 3
/
ATOMIC_SPECIES
Rb 85.47 Rb.upf
Nb 92.91 Nb.upf
S 32.06 S.upf
CELL_PARAMETERS angstrom
4.7413 2.7374 4.1035
-4.7413 2.7374 4.1035
0.0000 -5.4747 4.1035
ATOMIC_POSITIONS crystal
Rb 0.0000 0.0000 0.0000
Nb 0.2106 0.5611 0.4045
Nb 0.4045 0.2106 0.5611
Nb 0.4389 0.5955 0.7894
Nb 0.5611 0.4045 0.2106
Nb 0.5955 0.7894 0.4389
Nb 0.7894 0.4389 0.5955
S 0.1277 0.4111 0.7359
S 0.2448 0.2448 0.2448
S 0.2641 0.8723 0.5889
S 0.4111 0.7359 0.1277
S 0.5889 0.2641 0.8723
S 0.7359 0.1277 0.4111
S 0.7552 0.7552 0.7552
S 0.8723 0.5889 0.2641
! - N(E_F): 0.69 states/eV/atom
! - E_form (uncorrected): -0.982 eV/atom
! - Magnetization: 0.00 μB/f.u.
! - Energy above the lowest structure with this stoichiometry: 0.162 eV per atom

---

Question: Which value of energy above the lowest structure with this stoichiometry does entry 2 give?
Answer: 0.190 eV per atom

---

Question: What is the formula in the first record?
Answer: RbNbS3

---

Question: What is the formula in the second record?
Answer: RbNbS3